# 1
## Ca2TbAgTe4 (GGA-PBE)

Data for a relaxed structure of Ca2TbAgTe4.

a = 4.455 Å, b = 7.731 Å, c = 7.693 Å
α = 109.90°, β = 90.00°, γ = 90.00°
Element x y z (fractional)
Te: 0.000 0.744 0.245
Te: 0.500 0.244 0.236
Te: 0.000 0.256 0.755
Te: 0.500 0.756 0.764
Ca: 0.500 0.000 0.500
Ca: 0.000 0.500 0.500
Ag: 0.000 0.000 0.000
Tb: 0.500 0.500 0.000

Space-group type ... P2/m (10)
DFT total energy ... -4.224 eV per atom
Formation energy without anion corrections ... -1.2172 eV/atom

***

# 2
## LiMn2Te (GGA-PBE)

Data for a relaxed structure of LiMn2Te.

a = 4.295 Å, b = 4.295 Å, c = 4.295 Å
α = 60.00°, β = 60.00°, γ = 60.00°
Each line ends with the local moment (μB).
Element x y z (fractional)
Mn: 0.000 0.000 0.000  -0.43
Mn: 0.250 0.250 0.250  3.24
Te: 0.750 0.750 0.750  0.03
Li: 0.500 0.500 0.500  0.01

Space-group type ... F-43m (216)
DFT total energy ... -5.774 eV per atom
Formation energy without anion corrections ... 0.0750 eV/atom

***

- Look up the formation energy without anion corrections of the second one.
  0.0750 eV/atom